SrTmCd PBE optimized geometry; total DFT energy (no corrections) = -2.49 eV per atom; energy of formation = -0.134 eV/atom; total moment = 0.089 μB per atom; volume = 203 Å³ per cell; offset from the most stable computed form = 0 kJ/mol of formula units
1.0
-1.915 1.915 13.844
1.915 -1.915 13.844
1.915 1.915 -13.844
Sr Tm Cd
2 2 2
direct
0.071 0.071 0.000 Sr
0.929 0.929 0.000 Sr
0.210 0.210 0.000 Tm
0.790 0.790 0.000 Tm
0.350 0.350 0.000 Cd
0.650 0.650 0.000 Cd